[1]
# Hf2ScPt2

A crystal of Hf2ScPt2 relaxed with PBEsol (SCAN, the Alexandria database).

- ΔH_f (0 K) (meV/atom) = -1158

Lattice parameters (Å, degrees): 7.5283 7.5283 3.3404 90.00 90.00 90.00
Atoms (fractional coordinates):
Hf 0.1664 0.3336 0.0000
Hf 0.3336 0.8336 0.0000
Hf 0.6664 0.1664 0.0000
Hf 0.8336 0.6664 0.0000
Sc 0.0000 0.0000 0.5000
Sc 0.5000 0.5000 0.5000
Pt 0.1327 0.6327 0.5000
Pt 0.3673 0.1327 0.5000
Pt 0.6327 0.8673 0.5000
Pt 0.8673 0.3673 0.5000

[2]
# BaSiPbSe2

A crystal of BaSiPbSe2 relaxed with PBEsol (SCAN, the Alexandria database).

- uncorrected formation energy (meV/atom) = 665

Lattice parameters (Å, degrees): 5.8288 5.8288 5.5349 90.00 90.00 90.00
Atoms (fractional coordinates):
Ba 0.0000 0.0000 0.0000
Si 0.0000 0.0000 0.5000
Pb 0.5000 0.5000 0.5000
Se 0.0000 0.5000 0.0000
Se 0.5000 0.0000 0.0000

[3]
# HoSb

A crystal of HoSb relaxed with PBEsol (SCAN, the Alexandria database).

- uncorrected formation energy (meV/atom) = -1206

Lattice parameters (Å, degrees): 4.2969 4.2969 4.2969 60.00 60.00 60.00
Atoms (fractional coordinates):
Ho 0.0000 0.0000 0.0000
Sb 0.5000 0.5000 0.5000